## w
## Pm6Y2Ho (PBE)

Data for Pm6Y2Ho after structural relaxation.

CIF file:
```
data_Pm6Y2Ho
_chemical_formula_sum 'Pm6 Y2 Ho1'
_cell_length_a 3.622
_cell_length_b 9.569
_cell_length_c 9.575
_cell_angle_alpha 69.09
_cell_angle_beta 79.31
_cell_angle_gamma 79.23
_space_group_name_H-M_alt 'P -1'
_space_group_IT_number 2
loop_
_space_group_symop_operation_xyz
'x,y,z'
'-x,-y,-z'
loop_
_atom_site_label
_atom_site_type_symbol
_atom_site_fract_x
_atom_site_fract_y
_atom_site_fract_z
Pm1 Pm 0.056 0.219 0.169
Pm2 Pm 0.166 0.669 0.500
Pm3 Pm 0.388 0.557 0.166
Y1 Y 0.278 0.110 0.834
Ho1 Ho 0.500 0.000 0.500
```

=====

## x
## Pm6Y2Ho (PBE)

Data for Pm6Y2Ho after structural relaxation.

CIF file:
```
data_Pm6Y2Ho
_chemical_formula_sum 'Pm12 Y4 Ho2'
_cell_length_a 5.675
_cell_length_b 7.045
_cell_length_c 15.450
_cell_angle_alpha 90.00
_cell_angle_beta 90.00
_cell_angle_gamma 90.00
_space_group_name_H-M_alt 'I m m m'
_space_group_IT_number 71
_space_group_name_Hall '-I 2 2'
loop_
_atom_site_label
_atom_site_type_symbol
_atom_site_fract_x
_atom_site_fract_y
_atom_site_fract_z
Pm1 Pm 0.000 0.000 0.213
Pm2 Pm 0.000 0.271 0.389
Y1 Y 0.000 0.500 0.135
Ho1 Ho 0.000 0.000 0.000
```

=====

Stability, lowest: x

=====

## w
## Pm5Y4Ho2 (PBE)

Data for Pm5Y4Ho2 after structural relaxation.

CIF file:
```
data_Pm5Y4Ho2
_chemical_formula_sum 'Pm10 Y8 Ho4'
_cell_length_a 11.179
_cell_length_b 7.299
_cell_length_c 9.385
_cell_angle_alpha 90.00
_cell_angle_beta 107.64
_cell_angle_gamma 90.00
_space_group_name_H-M_alt 'C 1 2/m 1'
_space_group_IT_number 12
loop_
_space_group_symop_operation_xyz
'x,y,z'
'-x,-y,-z'
'-x,y,-z'
'x,-y,z'
'x+1/2,y+1/2,z'
'-x+1/2,-y+1/2,-z'
'-x+1/2,y+1/2,-z'
'x+1/2,-y+1/2,z'
loop_
_atom_site_label
_atom_site_type_symbol
_atom_site_fract_x
_atom_site_fract_y
_atom_site_fract_z
Pm1 Pm 0.000 0.000 0.000
Pm2 Pm 0.066 0.279 0.269
Y1 Y 0.166 0.500 0.619
Y2 Y 0.196 0.500 0.003
Ho1 Ho 0.146 0.000 0.616
```

=====

## x
## Pm5Y4Ho2 (PBE)

Data for Pm5Y4Ho2 after structural relaxation.

CIF file:
```
data_Pm5Y4Ho2
_chemical_formula_sum 'Pm10 Y8 Ho4'
_cell_length_a 3.536
_cell_length_b 9.148
_cell_length_c 23.570
_cell_angle_alpha 90.00
_cell_angle_beta 90.00
_cell_angle_gamma 90.00
_space_group_name_H-M_alt 'I m m m'
_space_group_IT_number 71
_space_group_name_Hall '-I 2 2'
loop_
_atom_site_label
_atom_site_type_symbol
_atom_site_fract_x
_atom_site_fract_y
_atom_site_fract_z
Pm1 Pm 0.000 0.000 0.000
Pm2 Pm 0.000 0.300 0.353
Y1 Y 0.000 0.189 0.500
Y2 Y 0.000 0.500 0.098
Ho1 Ho 0.000 0.500 0.231
```

=====

Stability, lowest: x

=====

## w
## Pm2Y6Ho3 (PBE)

Data for Pm2Y6Ho3 after structural relaxation.

CIF file:
```
data_Pm2Y6Ho3
_chemical_formula_sum 'Pm4 Y12 Ho6'
_cell_length_a 6.146
_cell_length_b 10.663
_cell_length_c 11.724
_cell_angle_alpha 90.00
_cell_angle_beta 100.17
_cell_angle_gamma 90.00
_space_group_name_H-M_alt 'C 1 2/m 1'
_space_group_IT_number 12
loop_
_space_group_symop_operation_xyz
'x,y,z'
'-x,-y,-z'
'-x,y,-z'
'x,-y,z'
'x+1/2,y+1/2,z'
'-x+1/2,-y+1/2,-z'
'-x+1/2,y+1/2,-z'
'x+1/2,-y+1/2,z'
loop_
_atom_site_label
_atom_site_type_symbol
_atom_site_fract_x
_atom_site_fract_y
_atom_site_fract_z
Pm1 Pm 0.000 0.167 0.000
Y1 Y 0.249 0.500 0.748
Y2 Y 0.250 0.167 0.748
Ho1 Ho 0.000 0.000 0.500
Ho2 Ho 0.000 0.335 0.500
```

=====

## x
## Pm2Y6Ho3 (PBE)

Data for Pm2Y6Ho3 after structural relaxation.

CIF file:
```
data_Pm2Y6Ho3
_chemical_formula_sum 'Pm4 Y12 Ho6'
_cell_length_a 4.734
_cell_length_b 4.734
_cell_length_c 33.471
_cell_angle_alpha 90.00
_cell_angle_beta 90.00
_cell_angle_gamma 90.00
_space_group_name_H-M_alt 'I 4/m m m'
_space_group_IT_number 139
_space_group_name_Hall '-I 4 2'
loop_
_atom_site_label
_atom_site_type_symbol
_atom_site_fract_x
_atom_site_fract_y
_atom_site_fract_z
Pm1 Pm 0.000 0.000 0.045
Y1 Y 0.000 0.000 0.199
Y2 Y 0.000 0.500 0.122
Ho1 Ho 0.000 0.000 0.301
Ho2 Ho 0.000 0.000 0.500
```

=====

Stability, lowest: x

=====

## w
## Pm3YHo7 (PBE)

Data for Pm3YHo7 after structural relaxation.

CIF file:
```
data_Pm3YHo7
_chemical_formula_sum 'Pm6 Y2 Ho14'
_cell_length_a 5.827
_cell_length_b 11.167
_cell_length_c 11.191
_cell_angle_alpha 90.00
_cell_angle_beta 90.00
_cell_angle_gamma 90.00
_space_group_name_H-M_alt 'I m m m'
_space_group_IT_number 71
_space_group_name_Hall '-I 2 2'
loop_
_atom_site_label
_atom_site_type_symbol
_atom_site_fract_x
_atom_site_fract_y
_atom_site_fract_z
Pm1 Pm 0.000 0.000 0.000
Pm2 Pm 0.000 0.500 0.287
Y1 Y 0.000 0.000 0.500
Ho1 Ho 0.000 0.208 0.195
Ho2 Ho 0.000 0.295 0.500
Ho3 Ho 0.000 0.500 0.000
```

=====

## x
## Pm3YHo7 (PBE)

Data for Pm3YHo7 after structural relaxation.

CIF file:
```
data_Pm3YHo7
_chemical_formula_sum 'Pm3 Y1 Ho7'
_cell_length_a 6.966
_cell_length_b 5.516
_cell_length_c 9.987
_cell_angle_alpha 90.00
_cell_angle_beta 110.03
_cell_angle_gamma 90.00
_space_group_name_H-M_alt 'P 1 2/m 1'
_space_group_IT_number 10
loop_
_space_group_symop_operation_xyz
'x,y,z'
'-x,-y,-z'
'-x,y,-z'
'x,-y,z'
loop_
_atom_site_label
_atom_site_type_symbol
_atom_site_fract_x
_atom_site_fract_y
_atom_site_fract_z
Pm1 Pm 0.000 0.000 0.000
Pm2 Pm 0.282 0.500 0.498
Y1 Y 0.500 0.000 0.000
Ho1 Ho 0.000 0.000 0.500
Ho2 Ho 0.147 0.500 0.789
Ho3 Ho 0.320 0.500 0.138
Ho4 Ho 0.419 0.000 0.330
```

=====

Stability, lowest: w

=====

## w
## Pm4Y5Ho3 (PBE)

Data for Pm4Y5Ho3 after structural relaxation.

CIF file:
```
data_Pm4Y5Ho3
_chemical_formula_sum 'Pm8 Y10 Ho6'
_cell_length_a 16.195
_cell_length_b 5.927
_cell_length_c 9.367
_cell_angle_alpha 90.00
_cell_angle_beta 116.56
_cell_angle_gamma 90.00
_space_group_name_H-M_alt 'C 1 2/m 1'
_space_group_IT_number 12
loop_
_space_group_symop_operation_xyz
'x,y,z'
'-x,-y,-z'
'-x,y,-z'
'x,-y,z'
'x+1/2,y+1/2,z'
'-x+1/2,-y+1/2,-z'
'-x+1/2,y+1/2,-z'
'x+1/2,-y+1/2,z'
loop_
_atom_site_label
_atom_site_type_symbol
_atom_site_fract_x
_atom_site_fract_y
_atom_site_fract_z
Pm1 Pm 0.084 0.000 0.447
Pm2 Pm 0.217 0.000 0.882
Y1 Y 0.000 0.000 0.000
Y2 Y 0.072 0.500 0.704
Y3 Y 0.171 0.500 0.384
Ho1 Ho 0.000 0.500 0.000
Ho2 Ho 0.211 0.000 0.235
```

=====

## x
## Pm4Y5Ho3 (PBE)

Data for Pm4Y5Ho3 after structural relaxation.

CIF file:
```
data_Pm4Y5Ho3
_chemical_formula_sum 'Pm4 Y5 Ho3'
_cell_length_a 6.213
_cell_length_b 7.172
_cell_length_c 8.775
_cell_angle_alpha 89.90
_cell_angle_beta 89.96
_cell_angle_gamma 89.92
_space_group_name_H-M_alt 'P -1'
_space_group_IT_number 2
loop_
_space_group_symop_operation_xyz
'x,y,z'
'-x,-y,-z'
loop_
_atom_site_label
_atom_site_type_symbol
_atom_site_fract_x
_atom_site_fract_y
_atom_site_fract_z
Pm1 Pm 0.166 0.251 0.168
Pm2 Pm 0.333 0.000 0.834
Y1 Y 0.000 0.000 0.500
Y2 Y 0.332 0.500 0.832
Y3 Y 0.499 0.748 0.500
Ho1 Ho 0.000 0.500 0.500
Ho2 Ho 0.167 0.749 0.169
```

=====

Stability, lowest: w

=====

## w
## PmY3Ho6 (PBE)

Data for PmY3Ho6 after structural relaxation.

CIF file:
```
data_PmY3Ho6
_chemical_formula_sum 'Pm4 Y12 Ho24'
_cell_length_a 11.054
_cell_length_b 18.958
_cell_length_c 6.158
_cell_angle_alpha 90.00
_cell_angle_beta 90.00
_cell_angle_gamma 90.00
_space_group_name_H-M_alt 'C m c 21'
_space_group_IT_number 36
loop_
_space_group_symop_operation_xyz
'x,y,z'
'-x,-y,z+1/2'
'-x,y,z'
'x,-y,z+1/2'
'x+1/2,y+1/2,z'
'-x+1/2,-y+1/2,z+1/2'
'-x+1/2,y+1/2,z'
'x+1/2,-y+1/2,z+1/2'
loop_
_atom_site_label
_atom_site_type_symbol
_atom_site_fract_x
_atom_site_fract_y
_atom_site_fract_z
Pm1 Pm 0.000 0.208 0.000
Y1 Y 0.000 0.391 0.918
Y2 Y 0.172 0.109 0.309
Ho1 Ho 0.000 0.048 0.773
Ho2 Ho 0.000 0.284 0.487
Ho3 Ho 0.165 0.453 0.378
Ho4 Ho 0.249 0.211 0.717
```

=====

## x
## PmY3Ho6 (PBE)

Data for PmY3Ho6 after structural relaxation.

CIF file:
```
data_PmY3Ho6
_chemical_formula_sum 'Pm3 Y9 Ho18'
_cell_length_a 9.8236
_cell_length_b 9.8236
_cell_length_c 11.6556
_cell_angle_alpha 90.00
_cell_angle_beta 90.00
_cell_angle_gamma 120.00
_space_group_name_H-M_alt 'R 3'
_space_group_IT_number 146
_space_group_name_Hall 'R 3'
loop_
_atom_site_label
_atom_site_type_symbol
_atom_site_fract_x
_atom_site_fract_y
_atom_site_fract_z
Pm1 Pm 0.0000 0.0000 0.0000
Y1 Y 0.0000 0.0000 0.2457
Y2 Y 0.0000 0.0000 0.4978
Y3 Y 0.0000 0.0000 0.7423
Ho1 Ho 0.0001 0.6630 0.1735
Ho2 Ho 0.0009 0.3376 0.6727
```

=====

Stability, lowest: x

=====

## w
## Pm2YHo5 (PBE)

Data for Pm2YHo5 after structural relaxation.

CIF file:
```
data_Pm2YHo5
_chemical_formula_sum 'Pm4 Y2 Ho10'
_cell_length_a 7.127
_cell_length_b 14.253
_cell_length_c 5.033
_cell_angle_alpha 90.00
_cell_angle_beta 90.00
_cell_angle_gamma 90.00
_space_group_name_H-M_alt 'P b a m'
_space_group_IT_number 55
loop_
_space_group_symop_operation_xyz
'x,y,z'
'-x,-y,-z'
'-x,-y,z'
'x,y,-z'
'x+1/2,-y+1/2,-z'
'-x+1/2,y+1/2,z'
'-x+1/2,y+1/2,-z'
'x+1/2,-y+1/2,z'
loop_
_atom_site_label
_atom_site_type_symbol
_atom_site_fract_x
_atom_site_fract_y
_atom_site_fract_z
Pm1 Pm 0.250 0.125 0.000
Y1 Y 0.000 0.000 0.500
Ho1 Ho 0.000 0.251 0.500
Ho2 Ho 0.000 0.500 0.500
Ho3 Ho 0.249 0.374 0.000
```

=====

## x
## Pm2YHo5 (PBE)

Data for Pm2YHo5 after structural relaxation.

CIF file:
```
data_Pm2YHo5
_chemical_formula_sum 'Pm4 Y2 Ho10'
_cell_length_a 5.941
_cell_length_b 8.679
_cell_length_c 10.666
_cell_angle_alpha 90.06
_cell_angle_beta 90.00
_cell_angle_gamma 107.79
_space_group_name_H-M_alt 'P -1'
_space_group_IT_number 2
loop_
_space_group_symop_operation_xyz
'x,y,z'
'-x,-y,-z'
loop_
_atom_site_label
_atom_site_type_symbol
_atom_site_fract_x
_atom_site_fract_y
_atom_site_fract_z
Pm1 Pm 0.166 0.052 0.106
Pm2 Pm 0.166 0.052 0.394
Y1 Y 0.450 0.124 0.750
Ho1 Ho 0.213 0.373 0.588
Ho2 Ho 0.213 0.373 0.912
Ho3 Ho 0.244 0.450 0.250
Ho4 Ho 0.282 0.760 0.583
Ho5 Ho 0.282 0.760 0.916
```

=====

Stability, lowest: x

=====

## w
## Pm2Y5Ho12 (PBE)

Data for Pm2Y5Ho12 after structural relaxation.

CIF file:
```
data_Pm2Y5Ho12
_chemical_formula_sum 'Pm2 Y5 Ho12'
_cell_length_a 6.280
_cell_length_b 9.060
_cell_length_c 10.817
_cell_angle_alpha 87.23
_cell_angle_beta 82.58
_cell_angle_gamma 88.14
_space_group_name_H-M_alt 'P -1'
_space_group_IT_number 2
loop_
_space_group_symop_operation_xyz
'x,y,z'
'-x,-y,-z'
loop_
_atom_site_label
_atom_site_type_symbol
_atom_site_fract_x
_atom_site_fract_y
_atom_site_fract_z
Pm1 Pm 0.047 0.008 0.157
Y1 Y 0.224 0.938 0.555
Y2 Y 0.375 0.512 0.156
Y3 Y 0.500 0.500 0.500
Ho1 Ho 0.002 0.675 0.390
Ho2 Ho 0.099 0.328 0.943
Ho3 Ho 0.146 0.639 0.748
Ho4 Ho 0.323 0.202 0.344
Ho5 Ho 0.424 0.833 0.950
Ho6 Ho 0.484 0.163 0.728
```

=====

## x
## Pm2Y5Ho12 (PBE)

Data for Pm2Y5Ho12 after structural relaxation.

CIF file:
```
data_Pm2Y5Ho12
_chemical_formula_sum 'Pm4 Y10 Ho24'
_cell_length_a 15.840
_cell_length_b 9.167
_cell_length_c 8.513
_cell_angle_alpha 90.00
_cell_angle_beta 91.27
_cell_angle_gamma 90.00
_space_group_name_H-M_alt 'C 1 2/m 1'
_space_group_IT_number 12
loop_
_space_group_symop_operation_xyz
'x,y,z'
'-x,-y,-z'
'-x,y,-z'
'x,-y,z'
'x+1/2,y+1/2,z'
'-x+1/2,-y+1/2,-z'
'-x+1/2,y+1/2,-z'
'x+1/2,-y+1/2,z'
loop_
_atom_site_label
_atom_site_type_symbol
_atom_site_fract_x
_atom_site_fract_y
_atom_site_fract_z
Pm1 Pm 0.000 0.183 0.000
Y1 Y 0.000 0.500 0.500
Y2 Y 0.198 0.000 0.009
Y3 Y 0.233 0.500 0.576
Ho1 Ho 0.056 0.000 0.332
Ho2 Ho 0.093 0.500 0.884
Ho3 Ho 0.127 0.192 0.656
Ho4 Ho 0.156 0.319 0.245
```

=====

Stability, lowest: x

=====

## w
## PmY2Ho5 (PBE)

Data for PmY2Ho5 after structural relaxation.

CIF file:
```
data_PmY2Ho5
_chemical_formula_sum 'Pm2 Y4 Ho10'
_cell_length_a 7.108
_cell_length_b 14.221
_cell_length_c 5.014
_cell_angle_alpha 90.00
_cell_angle_beta 90.00
_cell_angle_gamma 90.00
_space_group_name_H-M_alt 'P b a m'
_space_group_IT_number 55
loop_
_space_group_symop_operation_xyz
'x,y,z'
'-x,-y,-z'
'-x,-y,z'
'x,y,-z'
'x+1/2,-y+1/2,-z'
'-x+1/2,y+1/2,z'
'-x+1/2,y+1/2,-z'
'x+1/2,-y+1/2,z'
loop_
_atom_site_label
_atom_site_type_symbol
_atom_site_fract_x
_atom_site_fract_y
_atom_site_fract_z
Pm1 Pm 0.000 0.000 0.000
Y1 Y 0.250 0.126 0.500
Ho1 Ho 0.000 0.251 0.000
Ho2 Ho 0.000 0.500 0.000
Ho3 Ho 0.249 0.374 0.500
```

=====

## x
## PmY2Ho5 (PBE)

Data for PmY2Ho5 after structural relaxation.

CIF file:
```
data_PmY2Ho5
_chemical_formula_sum 'Pm4 Y8 Ho20'
_cell_length_a 6.474
_cell_length_b 25.150
_cell_length_c 6.362
_cell_angle_alpha 90.00
_cell_angle_beta 90.53
_cell_angle_gamma 90.00
_space_group_name_H-M_alt 'C 1 2/c 1'
_space_group_IT_number 15
loop_
_space_group_symop_operation_xyz
'x,y,z'
'-x,-y,-z'
'-x,y,-z+1/2'
'x,-y,z+1/2'
'x+1/2,y+1/2,z'
'-x+1/2,-y+1/2,-z'
'-x+1/2,y+1/2,-z+1/2'
'x+1/2,-y+1/2,z+1/2'
loop_
_atom_site_label
_atom_site_type_symbol
_atom_site_fract_x
_atom_site_fract_y
_atom_site_fract_z
Pm1 Pm 0.000 0.088 0.250
Y1 Y 0.246 0.467 0.171
Ho1 Ho 0.000 0.410 0.750
Ho2 Ho 0.249 0.337 0.348
Ho3 Ho 0.250 0.205 0.161
```

=====

Stability, lowest: x